1.
Density functional theory data (GGA-PBE) for an optimized crystal structure of Ga2FeCoCu4.

Values from the calculation:
Polymorph energy (0 for the lowest one), meV per atom: 0
Total magnetic moment, μB/cell: 3.32
E, eV/atom: -4.48

a = 4.1190 Å, b = 4.1190 Å, c = 5.8235 Å
α = 90.00°, β = 90.00°, γ = 90.00°
Last column: nearest neighbours and their distance in Å.
Fractional coordinates of all 8 atoms:
Co (0.0000, 0.0000, 0.5000)  8 Cu 2.52
Cu (0.5000, 0.0000, 0.2500)  4 Ga 2.52, 2 Co 2.52, 2 Fe 2.52
Cu (0.0000, 0.5000, 0.2500)  4 Ga 2.52, 2 Co 2.52, 2 Fe 2.52
Cu (0.5000, 0.0000, 0.7500)  4 Ga 2.52, 2 Co 2.52, 2 Fe 2.52
Cu (0.0000, 0.5000, 0.7500)  4 Ga 2.52, 2 Co 2.52, 2 Fe 2.52
Fe (0.5000, 0.5000, 0.0000)  8 Cu 2.52
Ga (0.0000, 0.0000, 0.0000)  8 Cu 2.52
Ga (0.5000, 0.5000, 0.5000)  8 Cu 2.52

***

2.
Density functional theory data (GGA-PBE) for an optimized crystal structure of FeCoCu4Ge2.

Values from the calculation:
Total magnetic moment, μB/cell: 1.66
E, eV/atom: -4.75

a = 4.0992 Å, b = 4.0992 Å, c = 5.8081 Å
α = 90.00°, β = 90.00°, γ = 90.00°
Last column: nearest neighbours and their distance in Å.
Fractional coordinates of all 8 atoms:
Co (0.0000, 0.0000, 0.5000)  8 Cu 2.51
Cu (0.5000, 0.0000, 0.2507)  4 Ge 2.51, 2 Co 2.51, 2 Fe 2.51
Cu (0.0000, 0.5000, 0.2507)  4 Ge 2.51, 2 Co 2.51, 2 Fe 2.51
Cu (0.5000, 0.0000, 0.7493)  4 Ge 2.51, 2 Co 2.51, 2 Fe 2.51
Cu (0.0000, 0.5000, 0.7493)  4 Ge 2.51, 2 Co 2.51, 2 Fe 2.51
Fe (0.5000, 0.5000, 0.0000)  8 Cu 2.51
Ge (0.0000, 0.0000, 0.0000)  8 Cu 2.51
Ge (0.5000, 0.5000, 0.5000)  8 Cu 2.51

***

3.
Density functional theory data (GGA-PBE) for an optimized crystal structure of In2FeCoCu4.

Values from the calculation:
Total magnetic moment, μB/cell: 3.55
E, eV/atom: -4.26

a = 4.2514 Å, b = 4.2514 Å, c = 6.0019 Å
α = 90.00°, β = 90.00°, γ = 90.00°
Last column: nearest neighbours and their distance in Å.
Fractional coordinates of all 8 atoms:
Co (0.5000, 0.5000, 0.0000)  8 Cu 2.60
Cu (0.5000, 0.0000, 0.2500)  4 In 2.60, 2 Co 2.60, 2 Fe 2.60
Cu (0.0000, 0.5000, 0.2500)  4 In 2.60, 2 Co 2.60, 2 Fe 2.60
Cu (0.5000, 0.0000, 0.7500)  2 Co 2.60, 4 In 2.60, 2 Fe 2.60
Cu (0.0000, 0.5000, 0.7500)  4 In 2.60, 2 Co 2.60, 2 Fe 2.60
Fe (0.0000, 0.0000, 0.5000)  8 Cu 2.60
In (0.0000, 0.0000, 0.0000)  8 Cu 2.60
In (0.5000, 0.5000, 0.5000)  8 Cu 2.60

***

4.
Density functional theory data (GGA-PBE) for an optimized crystal structure of Mg2FeCoCu4.

Values from the calculation:
Total magnetic moment, μB/cell: 2.64
E, eV/atom: -4.04

a = 4.1937 Å, b = 4.1937 Å, c = 5.8965 Å
α = 90.00°, β = 90.00°, γ = 90.00°
Last column: nearest neighbours and their distance in Å.
Fractional coordinates of all 8 atoms:
Co (0.0000, 0.0000, 0.5000)  8 Cu 2.56
Cu (0.5000, 0.0000, 0.2514)  2 Co 2.56, 4 Mg 2.56-2.57, 2 Fe 2.57
Cu (0.0000, 0.5000, 0.2514)  2 Co 2.56, 4 Mg 2.56-2.57, 2 Fe 2.57
Cu (0.5000, 0.0000, 0.7486)  4 Mg 2.56-2.57, 2 Co 2.56, 2 Fe 2.57
Cu (0.0000, 0.5000, 0.7486)  2 Co 2.56, 4 Mg 2.56-2.57, 2 Fe 2.57
Fe (0.5000, 0.5000, 0.0000)  8 Cu 2.57
Mg (0.0000, 0.0000, 0.0000)  8 Cu 2.57
Mg (0.5000, 0.5000, 0.5000)  8 Cu 2.56